Record 1
A PBEsol-optimized structure of GaSnSI2. Source: the Alexandria database, functional SCAN.

a b c (Å): 4.633 5.729 5.729
angles (deg): 90.00 90.00 90.00
Fractional coordinates of all 5 atoms:
I1 0.000 0.000 0.500
I2 0.000 0.500 0.000
S1 0.000 0.000 0.000
Sn1 0.500 0.500 0.500
Ga1 0.500 0.000 0.000

## Properties
M_tot	0.000	μB/atom
E_form (uncorrected)	10.8	kcal/mol of atoms
V	152.0	Å³/cell
space-group type	P4/mmm, No. 123

Record 2
A PBEsol-optimized structure of GaTe2SI. Source: the Alexandria database, functional SCAN.

a b c (Å): 5.195 5.322 5.322
angles (deg): 90.00 90.00 90.00
Fractional coordinates of all 5 atoms:
I1 0.500 0.000 0.000
S1 0.500 0.500 0.500
Te1 0.000 0.000 0.500
Te2 0.000 0.500 0.000
Ga1 0.000 0.000 0.000

## Properties
M_tot	0.001	μB/atom
E_form (uncorrected)	17.0	kcal/mol of atoms
V	147.1	Å³/cell
space-group type	P4/mmm, No. 123

Record 3
A PBEsol-optimized structure of ScGaSb2I. Source: the Alexandria database, functional SCAN.

a b c (Å): 5.164 5.164 5.517
angles (deg): 90.00 90.00 90.00
Fractional coordinates of all 5 atoms:
I1 0.000 0.000 0.500
Sb1 0.000 0.500 0.000
Sb2 0.500 0.000 0.000
Sc1 0.500 0.500 0.500
Ga1 0.000 0.000 0.000

## Properties
M_tot	0.000	μB/atom
E_form (uncorrected)	8.2	kcal/mol of atoms
V	147.2	Å³/cell
space-group type	P4/mmm, No. 123

Record 4
A PBEsol-optimized structure of SrGaSbI2. Source: the Alexandria database, functional SCAN.

a b c (Å): 6.184 6.184 6.390
angles (deg): 90.00 90.00 90.00
Fractional coordinates of all 5 atoms:
I1 0.000 0.500 0.000
I2 0.500 0.000 0.000
Sb1 0.000 0.000 0.500
Ga1 0.500 0.500 0.500
Sr1 0.000 0.000 0.000

## Properties
M_tot	0.400	μB/atom
E_form (uncorrected)	-5.2	kcal/mol of atoms
V	244.4	Å³/cell
space-group type	P4/mmm, No. 123

Record 5
A PBEsol-optimized structure of GaTcSbI2. Source: the Alexandria database, functional SCAN.

a b c (Å): 5.376 5.376 5.404
angles (deg): 90.00 90.00 90.00
Fractional coordinates of all 5 atoms:
I1 0.000 0.500 0.000
I2 0.500 0.000 0.000
Sb1 0.000 0.000 0.500
Tc1 0.500 0.500 0.500
Ga1 0.000 0.000 0.000

## Properties
M_tot	0.893	μB/atom
E_form (uncorrected)	23.6	kcal/mol of atoms
V	156.1	Å³/cell
space-group type	P4/mmm, No. 123

Record 6
A PBEsol-optimized structure of GaTcSb2I. Source: the Alexandria database, functional SCAN.

a b c (Å): 5.010 5.010 5.848
angles (deg): 90.00 90.00 90.00
Fractional coordinates of all 5 atoms:
I1 0.000 0.000 0.500
Sb1 0.000 0.500 0.000
Sb2 0.500 0.000 0.000
Tc1 0.000 0.000 0.000
Ga1 0.500 0.500 0.500

## Properties
M_tot	0.000	μB/atom
E_form (uncorrected)	11.2	kcal/mol of atoms
V	146.8	Å³/cell
space-group type	P4/mmm, No. 123

Record 7
A PBEsol-optimized structure of TlGaSbI2. Source: the Alexandria database, functional SCAN.

a b c (Å): 5.644 6.147 6.147
angles (deg): 90.00 90.00 90.00
Fractional coordinates of all 5 atoms:
I1 0.000 0.000 0.500
I2 0.000 0.500 0.000
Sb1 0.500 0.000 0.000
Tl1 0.000 0.000 0.000
Ga1 0.500 0.500 0.500

## Properties
M_tot	0.369	μB/atom
E_form (uncorrected)	7.7	kcal/mol of atoms
V	213.2	Å³/cell
space-group type	P4/mmm, No. 123

Record 8
A PBEsol-optimized structure of TlGaSbI2. Source: the Alexandria database, functional SCAN.

a b c (Å): 5.272 5.692 5.692
angles (deg): 90.00 90.00 90.00
Fractional coordinates of all 5 atoms:
I1 0.000 0.000 0.500
I2 0.000 0.500 0.000
Sb1 0.500 0.000 0.000
Tl1 0.500 0.500 0.500
Ga1 0.000 0.000 0.000

## Properties
M_tot	0.215	μB/atom
E_form (uncorrected)	1.0	kcal/mol of atoms
V	170.8	Å³/cell
space-group type	P4/mmm, No. 123

Record 9
A PBEsol-optimized structure of ScGaTeI2. Source: the Alexandria database, functional SCAN.

a b c (Å): 5.421 5.421 5.388
angles (deg): 90.00 90.00 90.00
Fractional coordinates of all 5 atoms:
I1 0.000 0.500 0.000
I2 0.500 0.000 0.000
Sc1 0.500 0.500 0.500
Te1 0.000 0.000 0.500
Ga1 0.000 0.000 0.000

## Properties
M_tot	0.199	μB/atom
E_form (uncorrected)	0.1	kcal/mol of atoms
V	158.3	Å³/cell
space-group type	P4/mmm, No. 123

Record 10
A PBEsol-optimized structure of GaSeI2. Source: the Alexandria database, functional SCAN.

a b c (Å): 5.313 5.313 5.313
angles (deg): 60.00 60.00 60.00
Fractional coordinates of all 4 atoms:
I1 0.250 0.250 0.250
I2 0.750 0.750 0.750
Ga1 0.000 0.000 0.000
Se1 0.500 0.500 0.500

## Properties
M_tot	0.510	μB/atom
E_form (uncorrected)	10.8	kcal/mol of atoms
V	106.0	Å³/cell
space-group type	Fm-3m, No. 225

Record 11
A PBEsol-optimized structure of Ga3SiI. Source: the Alexandria database, functional SCAN.

a b c (Å): 4.956 4.956 4.956
angles (deg): 90.00 90.00 90.00
Fractional coordinates of all 5 atoms:
I1 0.500 0.500 0.500
Si1 0.000 0.000 0.000
Ga1 0.000 0.500 0.000
Ga2 0.000 0.000 0.500
Ga3 0.500 0.000 0.000

## Properties
M_tot	0.000	μB/atom
E_form (uncorrected)	7.0	kcal/mol of atoms
V	121.7	Å³/cell
space-group type	Pm-3m, No. 221

Record 12
A PBEsol-optimized structure of GaSiTeI2. Source: the Alexandria database, functional SCAN.

a b c (Å): 5.378 5.378 5.431
angles (deg): 90.00 90.00 90.00
Fractional coordinates of all 5 atoms:
I1 0.000 0.500 0.000
I2 0.500 0.000 0.000
Si1 0.500 0.500 0.500
Te1 0.000 0.000 0.500
Ga1 0.000 0.000 0.000

## Properties
M_tot	0.000	μB/atom
E_form (uncorrected)	14.9	kcal/mol of atoms
V	157.1	Å³/cell
space-group type	P4/mmm, No. 123

V of number 12 (GaSiTeI2)?
157.1 Å³/cell